1.
Material: Nb3SnTe
Method: DFT, PBE
State: optimized geometry

Results
The density of states at the Fermi level is 8.3 states/eV per cell. As for the formation energy (no corrections): 1183 meV per atom. Its space group is No. 221.

a b c (Å): 5.031 5.031 5.031
angles (deg): 90.00 90.00 90.00
Sites, in units of the cell vectors:
1 Nb 0.000 0.000 0.500
2 Te 0.000 0.000 0.000
3 Nb 0.000 0.500 0.000
4 Sn 0.500 0.500 0.500
5 Nb 0.500 0.000 0.000

=====

2.
Material: NbSnTe3
Method: DFT, PBE
State: optimized geometry

Results
The density of states at the Fermi level is 6.1 states/eV per cell. As for the formation energy (no corrections): 182 meV per atom. Its space group is No. 221.

a b c (Å): 5.444 5.444 5.444
angles (deg): 90.00 90.00 90.00
Sites, in units of the cell vectors:
1 Te 0.000 0.000 0.500
2 Nb 0.000 0.000 0.000
3 Te 0.500 0.000 0.000
4 Te 0.000 0.500 0.000
5 Sn 0.500 0.500 0.500

=====

3.
Material: Nb2Sn2Te
Method: DFT, PBE
State: optimized geometry

Results
The density of states at the Fermi level is 10.4 states/eV per cell. As for the formation energy (no corrections): 20 meV per atom. Its space group is No. 127.

a b c (Å): 7.597 7.597 3.834
angles (deg): 90.00 90.00 90.00
Sites, in units of the cell vectors:
1 Nb 0.345 0.845 0.000
2 Te 0.000 0.000 0.000
3 Sn 0.140 0.640 0.500
4 Sn 0.640 0.860 0.500
5 Nb 0.155 0.345 0.000
6 Nb 0.655 0.155 0.000
7 Te 0.500 0.500 0.000
8 Nb 0.845 0.655 0.000
9 Sn 0.860 0.360 0.500
10 Sn 0.360 0.140 0.500

=====

4.
Material: NbSn2Te
Method: DFT, PBE
State: optimized geometry

Results
The density of states at the Fermi level is 5.5 states/eV per cell. As for the formation energy (no corrections): 675 meV per atom. Its space group is No. 122.

a b c (Å): 6.596 6.596 8.239
angles (deg): 66.40 66.40 90.00
Site moments in Bohr magnetons follow the coordinates.
Sites, in units of the cell vectors:
1 Sn 0.593 0.125 0.250  -0.02
2 Nb 0.500 0.500 0.000  1.12
3 Te 0.750 0.250 0.500  0.08
4 Te 0.000 0.000 0.000  0.08
5 Sn 0.157 0.625 0.250  -0.02
6 Nb 0.250 0.750 0.500  1.12
7 Sn 0.375 0.407 0.750  -0.02
8 Sn 0.875 0.843 0.750  -0.02

=====

5.
Material: NbSn3Te
Method: DFT, PBE
State: optimized geometry

Results
The density of states at the Fermi level is 7.1 states/eV per cell. As for the formation energy (no corrections): 409 meV per atom. Its space group is No. 221.

a b c (Å): 5.447 5.447 5.447
angles (deg): 90.00 90.00 90.00
Site moments in Bohr magnetons follow the coordinates.
Sites, in units of the cell vectors:
1 Nb 0.000 0.000 0.000  0.91
2 Sn 0.500 0.000 0.000  0.02
3 Sn 0.000 0.500 0.000  0.03
4 Te 0.500 0.500 0.500  0.43
5 Sn 0.000 0.000 0.500  0.03

=====

6.
Material: Nb2SnTe4
Method: DFT, PBE
State: optimized geometry

Results
The density of states at the Fermi level is 7.6 states/eV per cell. As for the formation energy (no corrections): -198 meV per atom. Its space group is No. 1.

a b c (Å): 8.239 8.249 7.609
angles (deg): 103.65 122.51 89.66
Sites, in units of the cell vectors:
1 Te 0.800 0.918 0.685
2 Te 0.377 0.626 0.210
3 Sn 0.190 0.454 0.394
4 Te 0.415 0.127 0.800
5 Sn 0.979 0.271 0.917
6 Te 0.836 0.532 0.667
7 Te 0.834 0.634 0.215
8 Nb 0.635 0.935 0.276
9 Te 0.413 0.715 0.827
10 Nb 0.583 0.413 0.797
11 Nb 0.599 0.368 0.189
12 Nb 0.226 0.408 0.795
13 Te 0.441 0.180 0.356
14 Te 0.923 0.169 0.373

=====

7.
Material: NbVSn2Te
Method: DFT, PBE
State: optimized geometry

Results
The density of states at the Fermi level is 3.5 states/eV per cell. As for the formation energy (no corrections): 523 meV per atom. Its space group is No. 123.

a b c (Å): 5.198 4.627 5.198
angles (deg): 90.00 90.00 90.00
Sites, in units of the cell vectors:
1 Sn 0.000 0.000 0.500
2 Nb 0.000 0.500 0.000
3 Sn 0.500 0.000 0.000
4 Te 0.500 0.500 0.500
5 V 0.000 0.000 0.000

=====

8.
Material: YNbSn2Te
Method: DFT, PBE
State: optimized geometry

Results
The density of states at the Fermi level is 4.1 states/eV per cell. As for the formation energy (no corrections): 172 meV per atom. Its space group is No. 123.

a b c (Å): 5.397 5.296 5.397
angles (deg): 90.00 90.00 90.00
Sites, in units of the cell vectors:
1 Y 0.500 0.500 0.500
2 Sn 0.000 0.000 0.500
3 Nb 0.000 0.000 0.000
4 Te 0.000 0.500 0.000
5 Sn 0.500 0.000 0.000